## CrCo2C (PBE)

Data for an optimized crystal structure of CrCo2C.

Cell and atoms, written as CIF:
```
data_CrCo2C
_chemical_formula_sum 'Cr4 Co8 C4'
_cell_length_a 4.750
_cell_length_b 4.750
_cell_length_c 8.573
_cell_angle_alpha 90.00
_cell_angle_beta 90.00
_cell_angle_gamma 90.00
_symmetry_space_group_name_H-M 'I -4 2 d'
_symmetry_Int_Tables_number 122
_symmetry_space_group_name_Hall 'I -4 2bw'
loop_
_atom_site_label
_atom_site_fract_x
_atom_site_fract_y
_atom_site_fract_z
Cr1 0.000 0.000 0.000
Co1 0.177 0.250 0.625
C1 0.000 0.000 0.500
```

## Properties
Theoretical density ... 6.246 g/cm³
M_tot ... 0.0000 μB/atom

***

## CrCo2CuC (PBE)

Data for an optimized crystal structure of CrCo2CuC.

Cell and atoms, written as CIF:
```
data_CrCo2CuC
_chemical_formula_sum 'Cr1 Co2 Cu1 C1'
_cell_length_a 3.745
_cell_length_b 3.745
_cell_length_c 3.899
_cell_angle_alpha 90.00
_cell_angle_beta 90.00
_cell_angle_gamma 90.00
_symmetry_space_group_name_H-M 'P 4/m m m'
_symmetry_Int_Tables_number 123
_symmetry_space_group_name_Hall '-P 4 2'
loop_
_atom_site_label
_atom_site_fract_x
_atom_site_fract_y
_atom_site_fract_z
Cr1 0.000 0.000 0.000
Co1 0.000 0.500 0.500
Cu1 0.500 0.500 0.000
C1 0.000 0.000 0.500
```

## Properties
Theoretical density ... 7.455 g/cm³
M_tot ... 0.9193 μB/atom

***

## CrCo2GeC (PBE)

Data for an optimized crystal structure of CrCo2GeC.

Cell and atoms, written as CIF:
```
data_CrCo2GeC
_chemical_formula_sum 'Cr1 Co2 Ge1 C1'
_cell_length_a 3.744
_cell_length_b 3.744
_cell_length_c 3.872
_cell_angle_alpha 90.00
_cell_angle_beta 90.00
_cell_angle_gamma 90.00
_symmetry_space_group_name_H-M 'P 4/m m m'
_symmetry_Int_Tables_number 123
_symmetry_space_group_name_Hall '-P 4 2'
loop_
_atom_site_label
_atom_site_fract_x
_atom_site_fract_y
_atom_site_fract_z
Cr1 0.000 0.000 0.000
Co1 0.000 0.500 0.500
Ge1 0.500 0.500 0.000
C1 0.000 0.000 0.500
```

## Properties
Theoretical density ... 7.786 g/cm³
M_tot ... 0.2598 μB/atom

***

no.,E_form (meV/atom)
1,787
2,173
3,7